# 1
Computed, not measured: a geometry-optimized SiOs2Rh structure at the GGA-PBE level of DFT. Values from VASP.

Quantum ESPRESSO input file:
```
&SYSTEM
  ibrav = 0, nat = 4, ntyp = 3
/
ATOMIC_SPECIES
Si 28.09 Si.upf
Os 190.23 Os.upf
Rh 102.91 Rh.upf
ATOMIC_POSITIONS crystal
Si 0.000 0.000 0.000
Os 0.500 0.500 0.227
Os 0.500 0.500 0.773
Rh 0.000 0.000 0.500
CELL_PARAMETERS angstrom
1.402 -2.375 0.000
1.402 2.375 0.000
0.000 0.000 8.573
```

Fermi-level density of states in states/eV/f.u.: 4.6
Formation energy (no corrections) in eV per formula unit: 1.21
Magnetization in μB/cell: 0.000
DFT total energy in eV/atom: -8.5049

# 2
Computed, not measured: a geometry-optimized Si2OsRh structure at the GGA-PBE level of DFT. Values from VASP.

Quantum ESPRESSO input file:
```
&SYSTEM
  ibrav = 0, nat = 4, ntyp = 3
/
ATOMIC_SPECIES
Si 28.09 Si.upf
Os 190.23 Os.upf
Rh 102.91 Rh.upf
ATOMIC_POSITIONS crystal
Si 0.000 0.000 0.227
Si 0.000 0.000 0.773
Os 0.500 0.500 0.000
Rh 0.000 0.500 0.500
CELL_PARAMETERS angstrom
2.839 0.000 0.000
0.000 3.719 0.000
0.000 0.000 5.288
```

Fermi-level density of states in states/eV/f.u.: 2.5
Formation energy (no corrections) in eV per formula unit: -0.69
Magnetization in μB/cell: 0.000
DFT total energy in eV/atom: -7.5289

# 3
Computed, not measured: a geometry-optimized SiOs2Rh structure at the GGA-PBE level of DFT. Values from VASP.

Quantum ESPRESSO input file:
```
&SYSTEM
  ibrav = 0, nat = 4, ntyp = 3
/
ATOMIC_SPECIES
Si 28.09 Si.upf
Os 190.23 Os.upf
Rh 102.91 Rh.upf
ATOMIC_POSITIONS crystal
Si 0.000 0.000 0.000
Os 0.000 0.000 0.499
Os 0.500 0.500 0.229
Rh 0.500 0.500 0.779
CELL_PARAMETERS angstrom
1.400 -2.368 0.000
1.400 2.368 0.000
0.000 0.000 8.584
```

Fermi-level density of states in states/eV/f.u.: 3.8
Formation energy (no corrections) in eV per formula unit: 1.00
Magnetization in μB/cell: 0.000
DFT total energy in eV/atom: -8.5583

# 4
Computed, not measured: a geometry-optimized SiOsRh2 structure at the GGA-PBE level of DFT. Values from VASP.

Quantum ESPRESSO input file:
```
&SYSTEM
  ibrav = 0, nat = 4, ntyp = 3
/
ATOMIC_SPECIES
Si 28.09 Si.upf
Os 190.23 Os.upf
Rh 102.91 Rh.upf
ATOMIC_POSITIONS crystal
Si 0.000 0.000 0.000
Os 0.000 0.000 0.500
Rh 0.500 0.500 0.248
Rh 0.500 0.500 0.752
CELL_PARAMETERS angstrom
2.756 0.000 0.000
0.000 3.787 0.000
0.000 0.000 5.280
```

Fermi-level density of states in states/eV/f.u.: 3.5
Formation energy (no corrections) in eV per formula unit: -0.56
Magnetization in μB/cell: 0.000
DFT total energy in eV/atom: -7.9777

# 5
Computed, not measured: a geometry-optimized SiOsRh structure at the GGA-PBE level of DFT. Values from VASP.

Quantum ESPRESSO input file:
```
&SYSTEM
  ibrav = 0, nat = 3, ntyp = 3
/
ATOMIC_SPECIES
Si 28.09 Si.upf
Os 190.23 Os.upf
Rh 102.91 Rh.upf
ATOMIC_POSITIONS crystal
Si 0.000 0.000 0.000
Os 0.667 0.333 0.309
Rh 0.333 0.667 0.695
CELL_PARAMETERS angstrom
2.789 0.000 0.000
-1.394 2.415 0.000
0.000 0.000 6.094
```

Fermi-level density of states in states/eV/f.u.: 1.5
Formation energy (no corrections) in eV per formula unit: -0.75
Magnetization in μB/cell: 0.000
Energy relative to the lowest polymorph listed for this composition in eV per formula unit: 0.04
DFT total energy in eV/atom: -8.2502

# 6
Computed, not measured: a geometry-optimized SiOs2Rh structure at the GGA-PBE level of DFT. Values from VASP.

Quantum ESPRESSO input file:
```
&SYSTEM
  ibrav = 0, nat = 4, ntyp = 3
/
ATOMIC_SPECIES
Si 28.09 Si.upf
Os 190.23 Os.upf
Rh 102.91 Rh.upf
ATOMIC_POSITIONS crystal
Si 0.000 0.000 0.000
Os 0.000 0.500 0.500
Os 0.500 0.000 0.500
Rh 0.500 0.500 0.000
CELL_PARAMETERS angstrom
2.723 -3.698 0.000
2.723 3.698 0.000
0.000 0.000 2.752
```

Fermi-level density of states in states/eV/f.u.: 4.2
Formation energy (no corrections) in eV per formula unit: 0.43
Magnetization in μB/cell: 0.000
DFT total energy in eV/atom: -8.7020

# 7
Computed, not measured: a geometry-optimized SiOsRh2 structure at the GGA-PBE level of DFT. Values from VASP.

Quantum ESPRESSO input file:
```
&SYSTEM
  ibrav = 0, nat = 4, ntyp = 3
/
ATOMIC_SPECIES
Si 28.09 Si.upf
Os 190.23 Os.upf
Rh 102.91 Rh.upf
ATOMIC_POSITIONS crystal
Si 0.000 0.000 0.000
Os 0.500 0.500 0.000
Rh 0.000 0.500 0.500
Rh 0.500 0.000 0.500
CELL_PARAMETERS angstrom
3.770 0.000 0.000
0.000 3.770 0.000
0.000 0.000 3.878
```

Fermi-level density of states in states/eV/f.u.: 4.0
Formation energy (no corrections) in eV per formula unit: -0.27
Magnetization in μB/cell: 0.000
DFT total energy in eV/atom: -7.9056

# 8
Computed, not measured: a geometry-optimized SiOsRh2 structure at the GGA-PBE level of DFT. Values from VASP.

Quantum ESPRESSO input file:
```
&SYSTEM
  ibrav = 0, nat = 4, ntyp = 3
/
ATOMIC_SPECIES
Si 28.09 Si.upf
Os 190.23 Os.upf
Rh 102.91 Rh.upf
ATOMIC_POSITIONS crystal
Si 0.000 0.000 0.000
Os 0.500 0.500 0.000
Rh 0.250 0.750 0.500
Rh 0.750 0.250 0.500
CELL_PARAMETERS angstrom
-1.892 1.892 3.828
1.892 -1.892 3.828
1.892 1.892 -3.828
```

Fermi-level density of states in states/eV/f.u.: 1.8
Formation energy (no corrections) in eV per formula unit: -0.77
Magnetization in μB/cell: 0.000
DFT total energy in eV/atom: -8.0311

# 9
Computed, not measured: a geometry-optimized Si2OsRh structure at the GGA-PBE level of DFT. Values from VASP.

Quantum ESPRESSO input file:
```
&SYSTEM
  ibrav = 0, nat = 4, ntyp = 3
/
ATOMIC_SPECIES
Si 28.09 Si.upf
Os 190.23 Os.upf
Rh 102.91 Rh.upf
ATOMIC_POSITIONS crystal
Si 0.000 0.000 0.000
Si 0.500 0.500 0.249
Os 0.000 0.000 0.478
Rh 0.500 0.500 0.775
CELL_PARAMETERS angstrom
1.457 -2.372 0.000
1.457 2.372 0.000
0.000 0.000 8.197
```

Fermi-level density of states in states/eV/f.u.: 2.0
Formation energy (no corrections) in eV per formula unit: 0.65
Magnetization in μB/cell: 0.000
DFT total energy in eV/atom: -7.1942

# 10
Computed, not measured: a geometry-optimized SiOsRh structure at the GGA-PBE level of DFT. Values from VASP.

Quantum ESPRESSO input file:
```
&SYSTEM
  ibrav = 0, nat = 3, ntyp = 3
/
ATOMIC_SPECIES
Si 28.09 Si.upf
Os 190.23 Os.upf
Rh 102.91 Rh.upf
ATOMIC_POSITIONS crystal
Si 0.000 0.000 0.000
Os 0.500 0.608 0.608
Rh 0.000 0.315 0.315
CELL_PARAMETERS angstrom
2.784 0.000 0.000
0.000 1.845 4.133
0.000 -1.845 4.133
```

Fermi-level density of states in states/eV/f.u.: 3.8
Formation energy (no corrections) in eV per formula unit: -0.35
Magnetization in μB/cell: 0.000
Energy relative to the lowest polymorph listed for this composition in eV per formula unit: 0.43
DFT total energy in eV/atom: -8.1189

# 11
Computed, not measured: a geometry-optimized SiOs2Rh structure at the GGA-PBE level of DFT. Values from VASP.

Quantum ESPRESSO input file:
```
&SYSTEM
  ibrav = 0, nat = 4, ntyp = 3
/
ATOMIC_SPECIES
Si 28.09 Si.upf
Os 190.23 Os.upf
Rh 102.91 Rh.upf
ATOMIC_POSITIONS crystal
Si 0.000 0.000 0.000
Os 0.000 0.500 0.500
Os 0.500 0.000 0.500
Rh 0.500 0.500 0.000
CELL_PARAMETERS angstrom
3.805 0.000 0.000
0.000 3.805 0.000
0.000 0.000 3.845
```

Fermi-level density of states in states/eV/f.u.: 5.2
Formation energy (no corrections) in eV per formula unit: 0.66
Magnetization in μB/cell: 0.000
DFT total energy in eV/atom: -8.6428

# 12
Computed, not measured: a geometry-optimized SiOs2Rh structure at the GGA-PBE level of DFT. Values from VASP.

Quantum ESPRESSO input file:
```
&SYSTEM
  ibrav = 0, nat = 4, ntyp = 3
/
ATOMIC_SPECIES
Si 28.09 Si.upf
Os 190.23 Os.upf
Rh 102.91 Rh.upf
ATOMIC_POSITIONS crystal
Si 0.000 0.000 0.000
Os 0.000 0.500 0.500
Os 0.500 0.000 0.500
Rh 0.500 0.500 0.000
CELL_PARAMETERS angstrom
2.756 0.000 0.000
0.000 4.520 0.000
0.000 0.000 4.544
```

Fermi-level density of states in states/eV/f.u.: 4.5
Formation energy (no corrections) in eV per formula unit: 0.77
Magnetization in μB/cell: 0.002
DFT total energy in eV/atom: -8.6160

# 13
Computed, not measured: a geometry-optimized SiOsRh structure at the GGA-PBE level of DFT. Values from VASP.

Quantum ESPRESSO input file:
```
&SYSTEM
  ibrav = 0, nat = 3, ntyp = 3
/
ATOMIC_SPECIES
Si 28.09 Si.upf
Os 190.23 Os.upf
Rh 102.91 Rh.upf
ATOMIC_POSITIONS crystal
Si 0.000 0.000 0.000
Os 0.292 0.792 0.500
Rh 0.704 0.204 0.500
CELL_PARAMETERS angstrom
-1.430 2.243 3.339
1.430 -2.243 3.339
1.430 2.243 -3.339
```

Fermi-level density of states in states/eV/f.u.: 2.3
Formation energy (no corrections) in eV per formula unit: -0.44
Magnetization in μB/cell: 0.000
Energy relative to the lowest polymorph listed for this composition in eV per formula unit: 0.35
DFT total energy in eV/atom: -8.1470

# 14
Computed, not measured: a geometry-optimized SiOsRh2 structure at the GGA-PBE level of DFT. Values from VASP.

Quantum ESPRESSO input file:
```
&SYSTEM
  ibrav = 0, nat = 4, ntyp = 3
/
ATOMIC_SPECIES
Si 28.09 Si.upf
Os 190.23 Os.upf
Rh 102.91 Rh.upf
ATOMIC_POSITIONS crystal
Si 0.000 0.000 0.000
Os 0.000 0.000 0.500
Rh 0.382 0.500 0.242
Rh 0.618 0.500 0.758
CELL_PARAMETERS angstrom
2.765 0.000 0.000
0.000 3.927 0.000
-1.120 0.000 5.091
```

Fermi-level density of states in states/eV/f.u.: 3.0
Formation energy (no corrections) in eV per formula unit: -0.77
Magnetization in μB/cell: 0.000
DFT total energy in eV/atom: -8.0304

# 15
Computed, not measured: a geometry-optimized SiOsRh2 structure at the GGA-PBE level of DFT. Values from VASP.

Quantum ESPRESSO input file:
```
&SYSTEM
  ibrav = 0, nat = 4, ntyp = 3
/
ATOMIC_SPECIES
Si 28.09 Si.upf
Os 190.23 Os.upf
Rh 102.91 Rh.upf
ATOMIC_POSITIONS crystal
Si 0.000 0.000 0.000
Os 0.500 0.500 0.500
Rh 0.264 0.264 0.755
Rh 0.736 0.736 0.245
CELL_PARAMETERS angstrom
4.504 -1.384 0.000
4.504 1.384 0.000
-1.160 0.000 4.390
```

Fermi-level density of states in states/eV/f.u.: 3.2
Formation energy (no corrections) in eV per formula unit: -0.68
Magnetization in μB/cell: 0.000
DFT total energy in eV/atom: -8.0101